[1]
First-principles (PBE-GGA) data for an optimized crystal structure of TmAs2Pd7, as listed in the Alexandria database.

The structure belongs to space group I4/mmm (No. 139); the cell edges are 4.114, 4.114 and 20.309 Å and the angles 90.00°, 90.00° and 90.00°. The distinct sites, in fractional coordinates, are Tm at (0.000, 0.000, 0.000), As at (0.000, 0.000, 0.326), Pd at (0.000, 0.000, 0.500), Pd at (0.000, 0.500, 0.102) and Pd at (0.000, 0.500, 0.250).


[2]
First-principles (PBE-GGA) data for an optimized crystal structure of TmAs2Pd, as listed in the Alexandria database.

The structure belongs to space group R-3m (No. 166, hexagonal axes); the cell edges are 3.4697, 3.4697 and 26.5092 Å and the angles 90.00°, 90.00° and 120.00°. The distinct sites, in fractional coordinates, are Tm at (0.0000, 0.0000, 0.0000), As at (0.0000, 0.0000, 0.1065) and Pd at (0.0000, 0.0000, 0.5000).


[3]
First-principles (PBE-GGA) data for an optimized crystal structure of Tm3As4Pd4, as listed in the Alexandria database.

The structure belongs to space group Immm (No. 71); the cell edges are 4.149, 7.133 and 13.914 Å and the angles 90.00°, 90.00° and 90.00°. The distinct sites, in fractional coordinates, are Tm at (0.000, 0.000, 0.000), Tm at (0.000, 0.500, 0.128), As at (0.000, 0.000, 0.216), As at (0.000, 0.199, 0.500) and Pd at (0.000, 0.298, 0.327).


[4]
First-principles (PBE-GGA) data for an optimized crystal structure of Tm2As3Pd9, as listed in the Alexandria database.

The structure belongs to space group C2/c (No. 15); the cell edges are 13.535, 7.860 and 9.952 Å and the angles 90.00°, 116.39° and 90.00°. The distinct sites, in fractional coordinates, are Tm at (0.171, 0.086, 0.250), As at (0.086, 0.236, 0.499), As at (0.250, 0.250, 0.000), Pd at (0.000, 0.368, 0.250), Pd at (0.057, 0.069, 0.918), Pd at (0.105, 0.318, 0.746), Pd at (0.108, 0.408, 0.056) and Pd at (0.229, 0.408, 0.419).


The records above give, respectively, DFT total energy values of -5.621 -4.850 -5.794 -5.660 eV per atom.